Material: K2BaSc
Method: DFT, PBE
State: relaxed

Calculated values
polymorph energy (0 for the lowest one)	0.226	eV/atom
energy of formation	0.59	eV per atom

```
data_K2BaSc
_cell_length_a 5.266
_cell_length_b 5.266
_cell_length_c 15.306
_cell_angle_alpha 80.09
_cell_angle_beta 80.09
_cell_angle_gamma 90.00
_symmetry_space_group_name_H-M 'P 1'
_symmetry_Int_Tables_number 1
_symmetry_space_group_name_Hall 'P 1'
loop_
_atom_site_label
_atom_site_type_symbol
_atom_site_fract_x
_atom_site_fract_y
_atom_site_fract_z
Sc1 Sc 0.500 0.500 0.000
Sc2 Sc 0.250 0.750 0.500
K1 K 0.611 0.125 0.250
K2 K 0.139 0.625 0.250
K3 K 0.375 0.389 0.750
K4 K 0.875 0.861 0.750
Ba1 Ba 0.000 0.000 0.000
Ba2 Ba 0.750 0.250 0.500
```

Material: DyMgFe
Method: DFT, PBE
State: relaxed

Calculated values
energy of formation	-0.04	eV per atom

```
data_DyMgFe
_cell_length_a 3.727
_cell_length_b 4.032
_cell_length_c 8.823
_cell_angle_alpha 103.21
_cell_angle_beta 90.00
_cell_angle_gamma 90.00
_symmetry_space_group_name_H-M 'P 1'
_symmetry_Int_Tables_number 1
_symmetry_space_group_name_Hall 'P 1'
loop_
_atom_site_label
_atom_site_type_symbol
_atom_site_fract_x
_atom_site_fract_y
_atom_site_fract_z
Dy1 Dy 0.250 0.911 0.822
Dy2 Dy 0.750 0.089 0.178
Mg1 Mg 0.750 0.298 0.596
Mg2 Mg 0.250 0.702 0.404
Fe1 Fe 0.250 0.534 0.069
Fe2 Fe 0.750 0.466 0.931
```

Material: ReAgBrCl6
Method: DFT, PBE
State: relaxed

```
data_ReAgBrCl6
_cell_length_a 7.009
_cell_length_b 6.757
_cell_length_c 7.638
_cell_angle_alpha 78.67
_cell_angle_beta 67.74
_cell_angle_gamma 58.76
_symmetry_space_group_name_H-M 'P 1'
_symmetry_Int_Tables_number 1
_symmetry_space_group_name_Hall 'P 1'
loop_
_atom_site_label
_atom_site_type_symbol
_atom_site_fract_x
_atom_site_fract_y
_atom_site_fract_z
Re1 Re 0.327 0.345 0.500
Ag1 Ag 0.685 0.630 0.501
Br1 Br 0.963 0.074 0.000
Cl1 Cl 0.131 0.342 0.311
Cl2 Cl 0.288 0.027 0.683
Cl3 Cl 0.528 0.340 0.689
Cl4 Cl 0.970 0.607 0.701
Cl5 Cl 0.423 0.607 0.299
Cl6 Cl 0.684 0.027 0.316
```

Material: Cs3RbPu2I9
Method: DFT, PBE
State: relaxed

```
data_Cs3RbPu2I9
_cell_length_a 8.842
_cell_length_b 8.842
_cell_length_c 12.415
_cell_angle_alpha 90.00
_cell_angle_beta 90.00
_cell_angle_gamma 120.00
_symmetry_space_group_name_H-M 'P 1'
_symmetry_Int_Tables_number 1
_symmetry_space_group_name_Hall 'P 1'
loop_
_atom_site_label
_atom_site_type_symbol
_atom_site_fract_x
_atom_site_fract_y
_atom_site_fract_z
Cs1 Cs 0.333 0.667 0.742
Cs2 Cs 0.000 0.000 0.000
Cs3 Cs 0.667 0.333 0.258
Rb1 Rb 0.000 0.000 0.500
Pu1 Pu 0.333 0.667 0.159
Pu2 Pu 0.667 0.333 0.841
I1 I 0.837 0.163 0.711
I2 I 0.837 0.674 0.711
I3 I 0.326 0.163 0.711
I4 I 0.674 0.837 0.289
I5 I 0.163 0.326 0.289
I6 I 0.163 0.837 0.289
I7 I 0.500 0.000 0.000
I8 I 0.000 0.500 0.000
I9 I 0.500 0.500 0.000
```

Material: NpTl2BiO8
Method: DFT, PBE
State: relaxed

```
data_NpTl2BiO8
_cell_length_a 5.247
_cell_length_b 5.245
_cell_length_c 6.943
_cell_angle_alpha 90.00
_cell_angle_beta 90.00
_cell_angle_gamma 92.42
_symmetry_space_group_name_H-M 'P 1'
_symmetry_Int_Tables_number 1
_symmetry_space_group_name_Hall 'P 1'
loop_
_atom_site_label
_atom_site_type_symbol
_atom_site_fract_x
_atom_site_fract_y
_atom_site_fract_z
Np1 Np 0.000 0.000 0.000
Tl1 Tl 0.500 0.500 0.750
Tl2 Tl 0.500 0.500 0.250
Bi1 Bi 0.000 0.000 0.500
O1 O 0.176 0.824 0.214
O2 O 0.704 0.705 0.000
O3 O 0.824 0.176 0.214
O4 O 0.824 0.176 0.786
O5 O 0.296 0.295 0.000
O6 O 0.176 0.824 0.786
O7 O 0.691 0.691 0.500
O8 O 0.309 0.309 0.500
```

Material: Ba2MnHg
Method: DFT, PBE
State: relaxed

Calculated values
polymorph energy (0 for the lowest one)	0.046	eV/atom
energy of formation	0.09	eV per atom

```
data_Ba2MnHg
_cell_length_a 4.152
_cell_length_b 4.195
_cell_length_c 9.279
_cell_angle_alpha 63.15
_cell_angle_beta 90.00
_cell_angle_gamma 90.00
_symmetry_space_group_name_H-M 'P 1'
_symmetry_Int_Tables_number 1
_symmetry_space_group_name_Hall 'P 1'
loop_
_atom_site_label
_atom_site_type_symbol
_atom_site_fract_x
_atom_site_fract_y
_atom_site_fract_z
Ba1 Ba 0.000 0.003 0.997
Ba2 Ba 0.000 0.497 0.503
Hg1 Hg 0.500 0.250 0.250
Mn1 Mn 0.500 0.750 0.750
```

Material: TeMoBr2
Method: DFT, PBE
State: relaxed

Calculated values
polymorph energy (0 for the lowest one)	0.787	eV/atom

```
data_TeMoBr2
_cell_length_a 5.063
_cell_length_b 5.063
_cell_length_c 5.066
_cell_angle_alpha 120.01
_cell_angle_beta 120.00
_cell_angle_gamma 89.97
_symmetry_space_group_name_H-M 'P 1'
_symmetry_Int_Tables_number 1
_symmetry_space_group_name_Hall 'P 1'
loop_
_atom_site_label
_atom_site_type_symbol
_atom_site_fract_x
_atom_site_fract_y
_atom_site_fract_z
Mo1 Mo 0.500 0.500 0.000
Te1 Te 0.750 0.250 0.500
Br1 Br 0.000 0.000 0.000
Br2 Br 0.250 0.750 0.500
```

Material: PRuCl2F
Method: DFT, PBE
State: relaxed

Calculated values
polymorph energy (0 for the lowest one)	0.000	eV/atom

```
data_PRuCl2F
_cell_length_a 4.755
_cell_length_b 4.755
_cell_length_c 4.495
_cell_angle_alpha 90.00
_cell_angle_beta 90.00
_cell_angle_gamma 90.00
_symmetry_space_group_name_H-M 'P 1'
_symmetry_Int_Tables_number 1
_symmetry_space_group_name_Hall 'P 1'
loop_
_atom_site_label
_atom_site_type_symbol
_atom_site_fract_x
_atom_site_fract_y
_atom_site_fract_z
Ru1 Ru 0.000 0.000 0.000
F1 F 0.500 0.500 0.500
P1 P 0.000 0.000 0.500
Cl1 Cl 0.000 0.500 0.000
Cl2 Cl 0.500 0.000 0.000
```

Material: CsLiB2
Method: DFT, PBE
State: relaxed

Calculated values
polymorph energy (0 for the lowest one)	0.870	eV/atom
energy of formation	2.01	eV per atom

```
data_CsLiB2
_cell_length_a 4.961
_cell_length_b 4.961
_cell_length_c 4.961
_cell_angle_alpha 60.00
_cell_angle_beta 60.00
_cell_angle_gamma 60.00
_symmetry_space_group_name_H-M 'P 1'
_symmetry_Int_Tables_number 1
_symmetry_space_group_name_Hall 'P 1'
loop_
_atom_site_label
_atom_site_type_symbol
_atom_site_fract_x
_atom_site_fract_y
_atom_site_fract_z
Cs1 Cs 0.500 0.500 0.500
B1 B 0.250 0.250 0.250
B2 B 0.750 0.750 0.750
Li1 Li 0.000 0.000 0.000
```

Number 1: raw total energy -2.03 eV per atom, density of states at the Fermi level 4.557 states/eV/f.u.. Number 2: raw total energy -4.93 eV per atom, density of states at the Fermi level 2.609 states/eV/f.u.. Number 3: raw total energy -3.53 eV per atom, density of states at the Fermi level 5.711 states/eV/f.u.. Number 4: raw total energy -4.40 eV per atom, density of states at the Fermi level 38.345 states/eV/f.u.. Number 5: raw total energy -6.54 eV per atom, density of states at the Fermi level 3.592 states/eV/f.u.. Number 6: raw total energy -3.24 eV per atom, density of states at the Fermi level 3.669 states/eV/f.u.. Number 7: raw total energy -3.75 eV per atom, density of states at the Fermi level 1.565 states/eV/f.u.. Number 8: raw total energy -3.97 eV per atom, density of states at the Fermi level 4.585 states/eV/f.u.. Number 9: raw total energy -2.02 eV per atom, density of states at the Fermi level 2.257 states/eV/f.u..